Record 1
The following is a GGA-PBE calculation of a relaxed Nb3Re2Mo crystal, from the Alexandria database.

Cell lengths 4.5483, 7.1860, 6.4300 Å; angles 90.00, 90.00, 71.55 degrees
With the nearest neighbours (Å) after each atom.
Element x y z (fractional)
Mo 0.3337 0.3326 0.0000  8 Nb 2.78-2.79
Nb 0.1665 0.6671 0.7498  5 Re 2.78-2.79, 3 Mo 2.79
Re 0.0000 0.0000 0.5000  8 Nb 2.78
Nb 0.5000 0.0000 0.7498  6 Re 2.78-2.79, 2 Mo 2.78
Nb 0.8335 0.3329 0.7498  5 Re 2.78-2.79, 3 Mo 2.79
Nb 0.8335 0.3329 0.2502  5 Re 2.78-2.79, 3 Mo 2.79
Re 0.6662 0.6676 0.5000  8 Nb 2.78-2.79
Re 0.3338 0.3324 0.5000  8 Nb 2.78-2.79
Re 0.0000 0.0000 0.0000  8 Nb 2.78-2.79
Nb 0.1665 0.6671 0.2502  5 Re 2.78-2.79, 3 Mo 2.79
Nb 0.5000 0.0000 0.2502  6 Re 2.78-2.79, 2 Mo 2.78
Mo 0.6663 0.6674 0.0000  8 Nb 2.78-2.79

Properties
**ΔE_f**: -243 meV/atom
**Relative energy among the computed polymorphs**: 0 meV/atom
**DOS(E_F)**: 3.65 states/eV/f.u.

***

Record 2
The following is a GGA-PBE calculation of a relaxed MgIrRu crystal, from the Alexandria database.

Cell lengths 5.1865, 5.1865, 13.0096 Å; angles 78.50, 78.50, 60.00 degrees
With the nearest neighbours (Å) after each atom.
Element x y z (fractional)
Ru 0.5000 0.0000 0.0000  6 Ru 2.59-2.64
Mg 0.1824 0.1824 0.4527  9 Ir 3.00-3.07, 3 Ru 3.05, 4 Mg 3.09-3.23
Ru 0.3905 0.3905 0.8285  3 Ir 2.57, 3 Ru 2.64
Ir 0.2730 0.2730 0.6664  4 Ir 2.52-2.67, 2 Ru 2.57-2.61
Ru 0.5000 0.5000 0.5000  6 Ir 2.61
Ru 0.0000 0.5000 0.0000  6 Ru 2.59-2.64
Ir 0.7875 0.2730 0.6664  4 Ir 2.52-2.67, 2 Ru 2.57-2.61
Ir 0.7270 0.2125 0.3336  4 Ir 2.52-2.67, 2 Ru 2.57-2.61
Mg 0.9598 0.9598 0.1207  9 Ru 3.01-3.06, 4 Mg 3.06-3.19, 3 Ir 3.06
Ir 0.2125 0.7270 0.3336  4 Ir 2.52-2.67, 2 Ru 2.57-2.61
Mg 0.2638 0.2638 0.2084  6 Ru 3.03, 6 Ir 3.04, 4 Mg 3.09-3.19
Ru 0.5000 0.5000 0.0000  6 Ru 2.59-2.64
Ir 0.2730 0.7875 0.6664  4 Ir 2.52-2.67, 2 Ru 2.57-2.61
Mg 0.7362 0.7362 0.7916  6 Ru 3.03, 6 Ir 3.04, 4 Mg 3.09-3.19
Mg 0.8176 0.8176 0.5473  9 Ir 3.00-3.07, 3 Ru 3.05, 4 Mg 3.09-3.23
Ru 0.6095 0.6095 0.1715  3 Ir 2.57, 3 Ru 2.64
Ir 0.7270 0.7270 0.3336  4 Ir 2.52-2.67, 2 Ru 2.57-2.61
Mg 0.0402 0.0402 0.8793  9 Ru 3.01-3.06, 4 Mg 3.06-3.19, 3 Ir 3.06

Properties
**ΔE_f**: -80 meV/atom
**Relative energy among the computed polymorphs**: 38 meV/atom
**DOS(E_F)**: 3.38 states/eV/f.u.

***

Record 3
The following is a GGA-PBE calculation of a relaxed TaMo2Pb crystal, from the Alexandria database.

Cell lengths 5.3915, 5.3915, 4.6786 Å; angles 64.29, 64.29, 37.03 degrees
With the nearest neighbours (Å) after each atom.
Element x y z (fractional)
Mo 0.0126 0.0126 0.9870  2 Ta 2.76, 4 Mo 2.90-2.91, 2 Pb 2.94
Mo 0.4874 0.4874 0.5130  2 Ta 2.76, 4 Mo 2.90-2.91, 2 Pb 2.94
Ta 0.7500 0.7500 0.7500  4 Mo 2.76, 4 Pb 2.90
Pb 0.2500 0.2500 0.2500  4 Ta 2.90, 8 Mo 2.94-3.18

Properties
**ΔE_f**: 431 meV/atom
**DOS(E_F)**: 2.87 states/eV/f.u.

***

Record 4
The following is a GGA-PBE calculation of a relaxed BaLa2Ni crystal, from the Alexandria database.

Cell lengths 5.4769, 5.4769, 5.4769 Å; angles 60.00, 60.00, 60.00 degrees
With the nearest neighbours (Å) after each atom.
Element x y z (fractional)
La 0.7500 0.7500 0.7500  4 Ba 3.35, 4 Ni 3.35
La 0.2500 0.2500 0.2500  4 Ba 3.35, 4 Ni 3.35
Ba 0.5000 0.5000 0.5000  8 La 3.35
Ni 0.0000 0.0000 0.0000  8 La 3.35

Properties
**ΔE_f**: 334 meV/atom
**Relative energy among the computed polymorphs**: 436 meV/atom
**DOS(E_F)**: 2.38 states/eV/f.u.

***

Record 5
The following is a GGA-PBE calculation of a relaxed SrTcRh2 crystal, from the Alexandria database.

Cell lengths 4.5241, 4.5241, 6.3964 Å; angles 84.20, 84.20, 36.78 degrees
With the nearest neighbours (Å) after each atom.
Element x y z (fractional)
Sr 0.2500 0.2500 0.2500  2 Sr 2.85, 2 Rh 3.11
Rh 0.0067 0.0067 0.9233  3 Tc 2.57-2.67, 4 Rh 2.65-2.85
Tc 0.7500 0.7500 0.7500  6 Rh 2.57-2.67, 2 Tc 2.85
Rh 0.4933 0.4933 0.5767  3 Tc 2.57-2.67, 4 Rh 2.65-2.85

Properties
**ΔE_f**: 314 meV/atom
**Relative energy among the computed polymorphs**: 173 meV/atom
**DOS(E_F)**: 6.03 states/eV/f.u.

***

Record 6
The following is a GGA-PBE calculation of a relaxed Er2NbAl2Ru5 crystal, from the Alexandria database.

Cell lengths 3.3016, 10.0817, 10.0817 Å; angles 90.00, 90.00, 90.00 degrees
With the nearest neighbours (Å) after each atom.
Element x y z (fractional)
Nb 0.0000 0.5000 0.5000  8 Ru 2.69
Ru 0.5000 0.4327 0.3006  2 Al 2.48, 2 Nb 2.69
Ru 0.5000 0.0000 0.5000  4 Al 2.45
Er 0.0000 0.1716 0.3284  3 Al 2.88-3.04, 10 Ru 2.95-3.20
Er 0.0000 0.6716 0.1716  3 Al 2.88-3.04, 10 Ru 2.95-3.20
Al 0.0000 0.3733 0.1267  6 Ru 2.45-2.48
Ru 0.5000 0.8006 0.9327  2 Al 2.48, 2 Nb 2.69
Al 0.0000 0.8733 0.3733  6 Ru 2.45-2.48
Er 0.0000 0.8284 0.6716  3 Al 2.88-3.04, 10 Ru 2.95-3.20
Ru 0.5000 0.9327 0.1994  2 Al 2.48, 2 Nb 2.69
Ru 0.5000 0.1994 0.0673  2 Al 2.48, 2 Nb 2.69
Ru 0.5000 0.3006 0.5673  2 Al 2.48, 2 Nb 2.69
Ru 0.5000 0.0673 0.8006  2 Al 2.48, 2 Nb 2.69
Al 0.0000 0.1267 0.6267  6 Ru 2.45-2.48
Ru 0.5000 0.5000 0.0000  4 Al 2.45
Ru 0.5000 0.5673 0.6994  2 Al 2.48, 2 Nb 2.69
Ru 0.5000 0.6994 0.4327  2 Al 2.48, 2 Nb 2.69
Er 0.0000 0.3284 0.8284  3 Al 2.88-3.04, 10 Ru 2.95-3.20
Nb 0.0000 0.0000 0.0000  8 Ru 2.69
Al 0.0000 0.6267 0.8733  6 Ru 2.45-2.48

Properties
**ΔE_f**: -459 meV/atom
**DOS(E_F)**: 8.14 states/eV/f.u.